This record from Alexandria describes In2TePb after structural relaxation. The functional is GGA-PBE.

Structure (CIF):
```
data_In2TePb
_symmetry_space_group_name_H-M 'R 3 m'
_symmetry_Int_Tables_number 160
_symmetry_space_group_name_Hall 'R 3 -2"'
_cell_length_a 4.2255
_cell_length_b 4.2255
_cell_length_c 24.6290
_cell_angle_alpha 90.00
_cell_angle_beta 90.00
_cell_angle_gamma 120.00
loop_
_atom_site_label
_atom_site_fract_x
_atom_site_fract_y
_atom_site_fract_z
In1 0.0000 0.0000 0.0000
In2 0.0000 0.0000 0.2543
Te1 0.0000 0.0000 0.5104
Pb1 0.0000 0.0000 0.7584
```

Calculated values
* total magnetization: 0.000 μB/f.u.
* raw formation energy: -0.065 eV/atom
* ρ: 7.38 g/cm3